No. 1
VASP calculation (PBE) on Tl2FeAs after structural relaxation.

Computed properties:
The total magnetization is 0.719 μB/atom. The value obtained for the formation energy is 13.8 kcal/mol of atoms. Its space-group type is No. 216. The value obtained for the density of states at the Fermi level is 3.6 states/eV/f.u. The calculation puts the offset from the most stable computed form at 0.4399 eV/atom.

CIF file:
```
data_Tl2FeAs
_cell_length_a 7.1550
_cell_length_b 7.1550
_cell_length_c 7.1550
_cell_angle_alpha 90.00
_cell_angle_beta 90.00
_cell_angle_gamma 90.00
_space_group_name_H-M_alt 'P 1'
_space_group_IT_number 1
loop_
_space_group_symop_operation_xyz
'x,y,z'
loop_
_atom_site_label
_atom_site_type_symbol
_atom_site_fract_x
_atom_site_fract_y
_atom_site_fract_z
Tl1 Tl 0.0000 0.0000 0.0000
Tl2 Tl 0.0000 0.5000 0.5000
Tl3 Tl 0.2500 0.2500 0.2500
Tl4 Tl 0.2500 0.7500 0.7500
Tl5 Tl 0.5000 0.0000 0.5000
Tl6 Tl 0.5000 0.5000 0.0000
Tl7 Tl 0.7500 0.2500 0.7500
Tl8 Tl 0.7500 0.7500 0.2500
Fe1 Fe 0.2500 0.2500 0.7500
Fe2 Fe 0.2500 0.7500 0.2500
Fe3 Fe 0.7500 0.2500 0.2500
Fe4 Fe 0.7500 0.7500 0.7500
As1 As 0.0000 0.0000 0.5000
As2 As 0.0000 0.5000 0.0000
As3 As 0.5000 0.0000 0.0000
As4 As 0.5000 0.5000 0.5000
```

No. 2
VASP calculation (PBE) on RePPbS2 after structural relaxation.

Computed properties:
The value obtained for the raw formation energy is 42.96 kcal/mol of atoms. The total magnetization is 0.687 μB/atom. Its space-group type is No. 123. The value obtained for the density of states at the Fermi level is 3.8 states/eV/f.u. The calculation puts the offset from the most stable computed form at 1.6162 eV/atom.

CIF file:
```
data_RePPbS2
_cell_length_a 5.0943
_cell_length_b 5.0943
_cell_length_c 5.2590
_cell_angle_alpha 90.00
_cell_angle_beta 90.00
_cell_angle_gamma 90.00
_space_group_name_H-M_alt 'P 1'
_space_group_IT_number 1
loop_
_space_group_symop_operation_xyz
'x,y,z'
loop_
_atom_site_label
_atom_site_type_symbol
_atom_site_fract_x
_atom_site_fract_y
_atom_site_fract_z
Re1 Re 0.0000 0.0000 0.0000
P1 P 0.5000 0.5000 0.0000
Pb1 Pb 0.5000 0.5000 0.5000
S1 S 0.0000 0.5000 0.5000
S2 S 0.5000 0.0000 0.5000
```

No. 3
VASP calculation (PBE) on CuP2I after structural relaxation.

Computed properties:
The value obtained for the raw formation energy is 13.79 kcal/mol of atoms. The total magnetization is 0.000 μB/atom. Its space-group type is No. 122. The value obtained for the density of states at the Fermi level is 1.8 states/eV/f.u. The calculation puts the offset from the most stable computed form at 0.0000 eV/atom.

CIF file:
```
data_CuP2I
_cell_length_a 6.2940
_cell_length_b 6.2940
_cell_length_c 9.4707
_cell_angle_alpha 90.00
_cell_angle_beta 90.00
_cell_angle_gamma 90.00
_space_group_name_H-M_alt 'P 1'
_space_group_IT_number 1
loop_
_space_group_symop_operation_xyz
'x,y,z'
loop_
_atom_site_label
_atom_site_type_symbol
_atom_site_fract_x
_atom_site_fract_y
_atom_site_fract_z
Cu1 Cu 0.0000 0.0000 0.0000
Cu2 Cu 0.0000 0.5000 0.2500
Cu3 Cu 0.5000 0.0000 0.7500
Cu4 Cu 0.5000 0.5000 0.5000
P1 P 0.1612 0.2500 0.1250
P2 P 0.2500 0.6612 0.3750
P3 P 0.2500 0.8388 0.8750
P4 P 0.3388 0.2500 0.6250
P5 P 0.6612 0.7500 0.6250
P6 P 0.7500 0.1612 0.8750
P7 P 0.7500 0.3388 0.3750
P8 P 0.8388 0.7500 0.1250
I1 I 0.0000 0.0000 0.5000
I2 I 0.0000 0.5000 0.7500
I3 I 0.5000 0.0000 0.2500
I4 I 0.5000 0.5000 0.0000
```

No. 4
VASP calculation (PBE) on CeNpBr2 after structural relaxation.

Computed properties:
The value obtained for the raw formation energy is -15.13 kcal/mol of atoms. The total magnetization is 1.494 μB/atom. Its space-group type is No. 166. The value obtained for the density of states at the Fermi level is 10.9 states/eV/f.u.

CIF file:
```
data_CeNpBr2
_cell_length_a 3.5709
_cell_length_b 3.5709
_cell_length_c 31.2027
_cell_angle_alpha 90.00
_cell_angle_beta 90.00
_cell_angle_gamma 120.00
_space_group_name_H-M_alt 'P 1'
_space_group_IT_number 1
loop_
_space_group_symop_operation_xyz
'x,y,z'
loop_
_atom_site_label
_atom_site_type_symbol
_atom_site_fract_x
_atom_site_fract_y
_atom_site_fract_z
Ce1 Ce 0.0000 0.0000 0.0000
Ce2 Ce 0.3333 0.6667 0.6667
Ce3 Ce 0.6667 0.3333 0.3333
Np1 Np 0.0000 0.0000 0.5000
Np2 Np 0.3333 0.6667 0.1667
Np3 Np 0.6667 0.3333 0.8333
Br1 Br 0.0000 0.0000 0.4041
Br2 Br 0.0000 0.0000 0.5959
Br3 Br 0.3333 0.6667 0.0707
Br4 Br 0.3333 0.6667 0.2626
Br5 Br 0.6667 0.3333 0.7374
Br6 Br 0.6667 0.3333 0.9293
```